1.
16
Lattice="6.8182 0.0000 0.0000 0.0000 6.8182 0.0000 0.0000 0.0000 6.8182" Properties=species:S:1:pos:R:3 comment="DyLuTcPt (PBE-GGA, relaxed)" delta_e_f_kj_per_mol_atoms=-58.3 dft_energy_ev_per_cell=-111.8 pbc="T T T"
Dy 0.0000 0.0000 0.0000
Dy 0.0000 3.4091 3.4091
Dy 3.4091 0.0000 3.4091
Dy 3.4091 3.4091 0.0000
Lu 0.0000 0.0000 3.4091
Lu 0.0000 3.4091 0.0000
Lu 3.4091 0.0000 0.0000
Lu 3.4091 3.4091 3.4091
Tc 1.7045 1.7045 1.7045
Tc 1.7045 5.1136 5.1136
Tc 5.1136 1.7045 5.1136
Tc 5.1136 5.1136 1.7045
Pt 1.7045 1.7045 5.1136
Pt 1.7045 5.1136 1.7045
Pt 5.1136 1.7045 1.7045
Pt 5.1136 5.1136 5.1136

=====

2.
5
Lattice="5.3762 0.0000 0.0000 0.0000 5.3762 0.0000 0.0000 0.0000 4.2651" Properties=species:S:1:pos:R:3 comment="FeWI2Cl (PBE-GGA, relaxed)" dft_energy_ev_per_cell=-20.4 formation_energy_uncorrected_kj_per_mol_atoms=115.1 pbc="T T T"
Fe 0.0000 0.0000 0.0000
W 2.6881 2.6881 2.1326
I 0.0000 2.6881 0.0000
I 2.6881 0.0000 0.0000
Cl 0.0000 0.0000 2.1326

=====

3.
8
Lattice="3.7963 0.0000 0.0000 0.0000 3.7963 0.0000 0.0000 0.0000 15.4601" Properties=species:S:1:pos:R:3 comment="Ce3SmHg4 (PBE-GGA, relaxed)" delta_e_f_kj_per_mol_atoms=-32.1 dft_energy_ev_per_cell=-26.4 pbc="T T T"
Ce 0.0000 0.0000 0.0000
Ce 0.0000 0.0000 3.8850
Ce 0.0000 0.0000 11.5751
Sm 0.0000 0.0000 7.7301
Hg 1.8981 1.8981 1.9384
Hg 1.8981 1.8981 5.8623
Hg 1.8981 1.8981 9.5978
Hg 1.8981 1.8981 13.5217

=====

4.
6
Lattice="0.0000 3.6740 3.6740 3.6740 0.0000 3.6740 3.6740 3.6740 0.0000" Properties=species:S:1:pos:R:3 comment="NdZn4Co (PBE-GGA, relaxed)" delta_e_f_kj_per_mol_atoms=-11.5 dft_energy_ev_per_cell=-17.7 polymorph_energy_ev_per_atom=0.0972 pbc="T T T"
Nd 0.0000 0.0000 0.0000
Zn 2.7682 2.7682 2.7682
Zn 4.5798 4.5798 2.7682
Zn 4.5798 2.7682 4.5798
Zn 2.7682 4.5798 4.5798
Co 5.5110 5.5110 5.5110